# 1
BaMgBe: optimized geometry, PBE-GGA.

The structure in CIF format:
```
data_BaMgBe
_symmetry_space_group_name_H-M 'P m m a'
_symmetry_Int_Tables_number 51
_cell_length_a 4.287
_cell_length_b 5.673
_cell_length_c 7.228
_cell_angle_alpha 90.00
_cell_angle_beta 90.00
_cell_angle_gamma 90.00
loop_
_symmetry_equiv_pos_as_xyz
'x,y,z'
'-x,-y,-z'
'-x+1/2,-y,z'
'x+1/2,y,-z'
'x+1/2,-y,-z'
'-x+1/2,y,z'
'-x,y,-z'
'x,-y,z'
loop_
_atom_site_label
_atom_site_type_symbol
_atom_site_fract_x
_atom_site_fract_y
_atom_site_fract_z
Ba1 Ba 0.250 0.000 0.233
Mg1 Mg 0.250 0.500 0.662
Be1 Be 0.000 0.500 0.000
```

Results
Calculated volume   29.30 Å³/atom
Energy of formation   0.24 eV per atom
E   -2.17 eV/atom
Size of the total moment   0.000 μB per atom

# 2
La14PmSm: optimized geometry, PBE-GGA.

The structure in CIF format:
```
data_La14PmSm
_symmetry_space_group_name_H-M 'A m m 2'
_symmetry_Int_Tables_number 38
_cell_length_a 11.959
_cell_length_b 11.654
_cell_length_c 8.342
_cell_angle_alpha 90.00
_cell_angle_beta 90.00
_cell_angle_gamma 90.00
loop_
_symmetry_equiv_pos_as_xyz
'x,y,z'
'-x,-y,z'
'-x,y,z'
'x,-y,z'
'x,y+1/2,z+1/2'
'-x,-y+1/2,z+1/2'
'-x,y+1/2,z+1/2'
'x,-y+1/2,z+1/2'
loop_
_atom_site_label
_atom_site_type_symbol
_atom_site_fract_x
_atom_site_fract_y
_atom_site_fract_z
La1 La 0.000 0.000 0.000
La2 La 0.000 0.000 0.433
La3 La 0.000 0.212 0.730
La4 La 0.247 0.216 0.018
La5 La 0.251 0.000 0.310
La6 La 0.258 0.000 0.740
La7 La 0.500 0.225 0.737
Pm1 Pm 0.500 0.000 0.458
Sm1 Sm 0.500 0.000 0.029
```

Results
Calculated volume   36.33 Å³/atom
Energy of formation   0.08 eV per atom
E   -4.83 eV/atom
Size of the total moment   0.000 μB per atom

# 3
Na2BiIrN: optimized geometry, PBE-GGA.

The structure in CIF format:
```
data_Na2BiIrN
_symmetry_space_group_name_H-M 'P 4/m m m'
_symmetry_Int_Tables_number 123
_symmetry_space_group_name_Hall '-P 4 2'
_cell_length_a 5.162
_cell_length_b 5.162
_cell_length_c 3.728
_cell_angle_alpha 90.00
_cell_angle_beta 90.00
_cell_angle_gamma 90.00
loop_
_atom_site_label
_atom_site_type_symbol
_atom_site_fract_x
_atom_site_fract_y
_atom_site_fract_z
Na1 Na 0.000 0.500 0.000
Bi1 Bi 0.000 0.000 0.500
Ir1 Ir 0.500 0.500 0.500
N1 N 0.500 0.500 0.000
```

Results
Calculated volume   19.87 Å³/atom
Formation energy from raw total energies   -0.0146 eV/atom
E   -4.76 eV/atom
Size of the total moment   0.000 μB per atom

# 4
Co2ReRu: optimized geometry, PBE-GGA.

The structure in CIF format:
```
data_Co2ReRu
_symmetry_space_group_name_H-M 'R 3 m'
_symmetry_Int_Tables_number 160
_symmetry_space_group_name_Hall 'R 3 -2"'
_cell_length_a 2.6697
_cell_length_b 2.6697
_cell_length_c 25.3254
_cell_angle_alpha 90.00
_cell_angle_beta 90.00
_cell_angle_gamma 120.00
loop_
_atom_site_label
_atom_site_type_symbol
_atom_site_fract_x
_atom_site_fract_y
_atom_site_fract_z
Co1 Co 0.0000 0.0000 0.0000
Co2 Co 0.0000 0.0000 0.2574
Re1 Re 0.0000 0.0000 0.5052
Ru1 Ru 0.0000 0.0000 0.7522
```

Results
Calculated volume   13.03 Å³/atom
Energy of formation   0.16 eV per atom
E   -8.83 eV/atom
Size of the total moment   0.711 μB per atom

Which of these has the highest size of the total moment? Co2ReRu